Record 1
## Tl2FeF4 (PBE+U)

Data for an optimized crystal structure of Tl2FeF4.

Cell and atoms, written as CIF:
```
data_Tl2FeF4
_chemical_formula_sum 'Tl4 Fe2 F8'
_cell_length_a 4.274
_cell_length_b 14.523
_cell_length_c 4.197
_cell_angle_alpha 90.00
_cell_angle_beta 90.00
_cell_angle_gamma 90.00
_symmetry_space_group_name_H-M 'C m m m'
_symmetry_Int_Tables_number 65
_symmetry_space_group_name_Hall '-C 2 2'
loop_
_atom_site_label
_atom_site_type_symbol
_atom_site_fract_x
_atom_site_fract_y
_atom_site_fract_z
Tl1 Tl 0.000 0.141 0.000
Fe1 Fe 0.000 0.500 0.500
F1 F 0.000 0.000 0.500
F2 F 0.000 0.360 0.500
F3 F 0.000 0.500 0.000
```

Summary:
Final energy, eV/atom: -4.6105

Record 2
## Y2WO6 (PBE+U)

Data for an optimized crystal structure of Y2WO6.

Cell and atoms, written as CIF:
```
data_Y2WO6
_chemical_formula_sum 'Y4 W2 O12'
_cell_length_a 5.379
_cell_length_b 5.456
_cell_length_c 8.180
_cell_angle_alpha 90.00
_cell_angle_beta 90.00
_cell_angle_gamma 90.00
_symmetry_space_group_name_H-M 'P m m n'
_symmetry_Int_Tables_number 59
loop_
_symmetry_equiv_pos_as_xyz
'x,y,z'
'-x,-y,-z'
'-x+1/2,-y+1/2,z'
'x+1/2,y+1/2,-z'
'x+1/2,-y,-z'
'-x+1/2,y,z'
'-x,y+1/2,-z'
'x,-y+1/2,z'
loop_
_atom_site_label
_atom_site_type_symbol
_atom_site_fract_x
_atom_site_fract_y
_atom_site_fract_z
Y1 Y 0.250 0.250 0.004
Y2 Y 0.250 0.750 0.325
W1 W 0.250 0.750 0.722
O1 O 0.017 0.506 0.829
O2 O 0.018 0.750 0.552
```

Summary:
Final energy, eV/atom: -8.3908
Relative energy among the computed polymorphs, eV/atom: 0.120